A | The following is a DFT calculation (PBE-GGA) of crystalline Ho2LuPd at its relaxed geometry.

Properties
For the total magnetization, the calculation gives 0.0000 μB per atom. The space-group type is P4/mmm, No. 123. The density is 9772 kg/m³.

abc: 3.5521 3.5521 8.2325
angles: 90.00 90.00 90.00
Sites, in units of the cell vectors:
Lu 0.5000 0.5000 0.5000
Ho 0.0000 0.0000 0.7967
Ho 0.0000 0.0000 0.2033
Pd 0.5000 0.5000 0.0000

B | The following is a DFT calculation (PBE-GGA) of crystalline Ho2LuPd at its relaxed geometry.

Properties
For the total magnetization, the calculation gives 0.0002 μB per atom. The space-group type is R-3m, No. 166. The density is 8861 kg/m³.

abc: 3.5363 3.5363 10.7719
angles: 80.55 80.55 60.00
Sites, in units of the cell vectors:
Lu 0.0000 0.0000 0.0000
Ho 0.1048 0.1048 0.6855
Ho 0.8952 0.8952 0.3145
Pd 0.5000 0.5000 0.5000

Relative energies, unit meV/atom: A 0; B 325

A | The following is a DFT calculation (PBE-GGA) of crystalline HoLu2Pd at its relaxed geometry.

Properties
For the total magnetization, the calculation gives 0.0000 μB per atom. The space-group type is P4/mmm, No. 123. The density is 10176 kg/m³.

abc: 3.5042 3.5042 8.2566
angles: 90.00 90.00 90.00
Sites, in units of the cell vectors:
Lu 0.0000 0.0000 0.8005
Lu 0.0000 0.0000 0.1995
Ho 0.5000 0.5000 0.5000
Pd 0.5000 0.5000 0.0000

B | The following is a DFT calculation (PBE-GGA) of crystalline HoLu2Pd at its relaxed geometry.

Properties
For the total magnetization, the calculation gives 0.0000 μB per atom. The space-group type is Fm-3m, No. 225. The density is 10522 kg/m³.

abc: 5.1760 5.1760 5.1760
angles: 60.00 60.00 60.00
Sites, in units of the cell vectors:
Lu 0.2501 0.2501 0.2498
Lu 0.7499 0.7499 0.7502
Ho 0.5000 0.5000 0.5000
Pd 0.0000 0.0000 0.0000

Relative energies, unit meV/atom: A 0; B 305